Record 1
Computed, not measured: CaY2ErTl4 after structural relaxation at the PBE level of DFT.

Total energy = -3.98 eV/atom
DOS(E_F) = 16.3 states/eV/cell
Formation energy = -0.37 eV per atom
Spin magnetization = 0.00 μB per atom

CIF file:
```
data_CaY2ErTl4
_chemical_formula_sum 'Ca3 Y6 Er3 Tl12'
_cell_length_a 5.3887
_cell_length_b 5.3887
_cell_length_c 26.4438
_cell_angle_alpha 90.00
_cell_angle_beta 90.00
_cell_angle_gamma 120.00
_space_group_name_H-M_alt 'R -3 m'
_space_group_IT_number 166
_space_group_name_Hall '-R 3 2"'
loop_
_atom_site_label
_atom_site_fract_x
_atom_site_fract_y
_atom_site_fract_z
Ca1 0.0000 0.0000 0.0000
Y1 0.0000 0.0000 0.2519
Er1 0.0000 0.0000 0.5000
Tl1 0.0000 0.0000 0.1266
Tl2 0.0000 0.0000 0.3770
```

---

Record 2
Computed, not measured: CaYErTl after structural relaxation at the PBE level of DFT.

Total energy = -3.89 eV/atom
DOS(E_F) = 16.8 states/eV/cell
Formation energy = -0.04 eV per atom
Spin magnetization = 0.00 μB per atom

CIF file:
```
data_CaYErTl
_chemical_formula_sum 'Ca4 Y4 Er4 Tl4'
_cell_length_a 7.7827
_cell_length_b 7.7827
_cell_length_c 7.7827
_cell_angle_alpha 90.00
_cell_angle_beta 90.00
_cell_angle_gamma 90.00
_space_group_name_H-M_alt 'F -4 3 m'
_space_group_IT_number 216
_space_group_name_Hall 'F -4 2 3'
loop_
_atom_site_label
_atom_site_fract_x
_atom_site_fract_y
_atom_site_fract_z
Ca1 0.0000 0.0000 0.0000
Y1 0.2500 0.2500 0.2500
Er1 0.2500 0.2500 0.7500
Tl1 0.0000 0.0000 0.5000
```